Entry 1:
# SCAN HgRuSe2, PBEsol geometry
data_HgRuSe2
_chemical_formula_sum 'Hg3 Ru3 Se6'
_cell_length_a 3.1214
_cell_length_b 3.1214
_cell_length_c 27.8585
_cell_angle_alpha 90.00
_cell_angle_beta 90.00
_cell_angle_gamma 120.00
_symmetry_space_group_name_H-M 'R 3 m'
_symmetry_Int_Tables_number 160
_symmetry_space_group_name_Hall 'R 3 -2"'
loop_
_atom_site_label
_atom_site_type_symbol
_atom_site_fract_x
_atom_site_fract_y
_atom_site_fract_z
Hg1 Hg 0.0000 0.0000 0.0000
Ru1 Ru 0.0000 0.0000 0.7466
Se1 Se 0.0000 0.0000 0.2438
Se2 Se 0.0000 0.0000 0.4685
# Formation energy from raw total energies: 0.126 eV per atom

---

Entry 2:
# SCAN La2AgPb2, PBEsol geometry
data_La2AgPb2
_chemical_formula_sum 'La4 Ag2 Pb4'
_cell_length_a 7.738
_cell_length_b 7.738
_cell_length_c 4.835
_cell_angle_alpha 90.00
_cell_angle_beta 90.00
_cell_angle_gamma 90.00
_symmetry_space_group_name_H-M 'P 4/m b m'
_symmetry_Int_Tables_number 127
_symmetry_space_group_name_Hall '-P 4 2ab'
loop_
_atom_site_label
_atom_site_type_symbol
_atom_site_fract_x
_atom_site_fract_y
_atom_site_fract_z
La1 La 0.170 0.330 0.000
Ag1 Ag 0.000 0.000 0.500
Pb1 Pb 0.139 0.639 0.500
# Energy of formation: -0.643 eV/atom

---

Entry 3:
# SCAN ZrScCr2Ga, PBEsol geometry
data_ZrScCr2Ga
_chemical_formula_sum 'Zr1 Sc1 Cr2 Ga1'
_cell_length_a 4.602
_cell_length_b 4.602
_cell_length_c 5.093
_cell_angle_alpha 90.00
_cell_angle_beta 90.00
_cell_angle_gamma 90.00
_symmetry_space_group_name_H-M 'P 4/m m m'
_symmetry_Int_Tables_number 123
_symmetry_space_group_name_Hall '-P 4 2'
loop_
_atom_site_label
_atom_site_type_symbol
_atom_site_fract_x
_atom_site_fract_y
_atom_site_fract_z
Zr1 Zr 0.000 0.000 0.000
Sc1 Sc 0.000 0.000 0.500
Cr1 Cr 0.000 0.500 0.000
Ga1 Ga 0.500 0.500 0.500
# Energy of formation: 1.266 eV/atom

---

Entry 4:
# SCAN Ba2AgPt, PBEsol geometry
data_Ba2AgPt
_chemical_formula_sum 'Ba2 Ag1 Pt1'
_cell_length_a 3.863
_cell_length_b 3.863
_cell_length_c 7.892
_cell_angle_alpha 90.00
_cell_angle_beta 90.00
_cell_angle_gamma 90.00
_symmetry_space_group_name_H-M 'P 4/m m m'
_symmetry_Int_Tables_number 123
_symmetry_space_group_name_Hall '-P 4 2'
loop_
_atom_site_label
_atom_site_type_symbol
_atom_site_fract_x
_atom_site_fract_y
_atom_site_fract_z
Ba1 Ba 0.000 0.000 0.228
Ag1 Ag 0.500 0.500 0.500
Pt1 Pt 0.500 0.500 0.000
# Energy of formation: -0.539 eV/atom

---

Entry 5:
# SCAN LiNi5O3F5, PBEsol geometry
data_LiNi5O3F5
_chemical_formula_sum 'Li3 Ni15 O9 F15'
_cell_length_a 5.8373
_cell_length_b 5.8373
_cell_length_c 14.8665
_cell_angle_alpha 90.00
_cell_angle_beta 90.00
_cell_angle_gamma 120.00
_symmetry_space_group_name_H-M 'R 3 m'
_symmetry_Int_Tables_number 160
_symmetry_space_group_name_Hall 'R 3 -2"'
loop_
_atom_site_label
_atom_site_type_symbol
_atom_site_fract_x
_atom_site_fract_y
_atom_site_fract_z
Li1 Li 0.0000 0.0000 0.0000
Ni1 Ni 0.0000 0.0000 0.3849
Ni2 Ni 0.0000 0.0000 0.7839
Ni3 Ni 0.1710 0.3420 0.2057
O1 O 0.0251 0.5125 0.1328
F1 F 0.0000 0.0000 0.1306
F2 F 0.0000 0.0000 0.6226
F3 F 0.1783 0.3566 0.9583
# Formation energy from raw total energies: -1.893 eV per atom

---

Entry 6:
# SCAN RhW2Se, PBEsol geometry
data_RhW2Se
_chemical_formula_sum 'Rh1 W2 Se1'
_cell_length_a 2.837
_cell_length_b 4.082
_cell_length_c 5.374
_cell_angle_alpha 90.00
_cell_angle_beta 104.00
_cell_angle_gamma 90.00
_symmetry_space_group_name_H-M 'P 1 2/m 1'
_symmetry_Int_Tables_number 10
loop_
_symmetry_equiv_pos_as_xyz
'x,y,z'
'-x,-y,-z'
'-x,y,-z'
'x,-y,z'
loop_
_atom_site_label
_atom_site_type_symbol
_atom_site_fract_x
_atom_site_fract_y
_atom_site_fract_z
Rh1 Rh 0.000 0.000 0.000
W1 W 0.428 0.500 0.746
Se1 Se 0.000 0.000 0.500
# Formation energy from raw total energies: 0.426 eV per atom

---

Entry 7:
# SCAN TiBe3, PBEsol geometry
data_TiBe3
_chemical_formula_sum 'Ti9 Be27'
_cell_length_a 4.4454
_cell_length_b 4.4454
_cell_length_c 21.0904
_cell_angle_alpha 90.00
_cell_angle_beta 90.00
_cell_angle_gamma 120.00
_symmetry_space_group_name_H-M 'R -3 m'
_symmetry_Int_Tables_number 166
_symmetry_space_group_name_Hall '-R 3 2"'
loop_
_atom_site_label
_atom_site_type_symbol
_atom_site_fract_x
_atom_site_fract_y
_atom_site_fract_z
Ti1 Ti 0.0000 0.0000 0.0000
Ti2 Ti 0.0000 0.0000 0.1426
Be1 Be 0.0000 0.0000 0.3340
Be2 Be 0.0000 0.0000 0.5000
Be3 Be 0.0025 0.5013 0.9187
# Energy of formation: -0.223 eV/atom

---

Entry 8:
# SCAN Li2LaPd2, PBEsol geometry
data_Li2LaPd2
_chemical_formula_sum 'Li4 La2 Pd4'
_cell_length_a 3.853
_cell_length_b 3.853
_cell_length_c 12.794
_cell_angle_alpha 90.00
_cell_angle_beta 90.00
_cell_angle_gamma 90.00
_symmetry_space_group_name_H-M 'I 4/m m m'
_symmetry_Int_Tables_number 139
_symmetry_space_group_name_Hall '-I 4 2'
loop_
_atom_site_label
_atom_site_type_symbol
_atom_site_fract_x
_atom_site_fract_y
_atom_site_fract_z
Li1 Li 0.000 0.500 0.250
La1 La 0.000 0.000 0.000
Pd1 Pd 0.000 0.000 0.394
# Energy of formation: -0.603 eV/atom

---

Entry 9:
# SCAN Ru2Se, PBEsol geometry
data_Ru2Se
_chemical_formula_sum 'Ru8 Se4'
_cell_length_a 10.330
_cell_length_b 2.903
_cell_length_c 6.086
_cell_angle_alpha 90.00
_cell_angle_beta 110.00
_cell_angle_gamma 90.00
_symmetry_space_group_name_H-M 'C 1 2/m 1'
_symmetry_Int_Tables_number 12
loop_
_symmetry_equiv_pos_as_xyz
'x,y,z'
'-x,-y,-z'
'-x,y,-z'
'x,-y,z'
'x+1/2,y+1/2,z'
'-x+1/2,-y+1/2,-z'
'-x+1/2,y+1/2,-z'
'x+1/2,-y+1/2,z'
loop_
_atom_site_label
_atom_site_type_symbol
_atom_site_fract_x
_atom_site_fract_y
_atom_site_fract_z
Ru1 Ru 0.061 0.000 0.330
Ru2 Ru 0.128 0.500 0.003
Se1 Se 0.195 0.500 0.667
# Formation energy from raw total energies: 0.243 eV per atom
# Energy above the most stable polymorph in this dataset: 0.000 eV/atom

---

Entry 10:
# SCAN ScCrSi3, PBEsol geometry
data_ScCrSi3
_chemical_formula_sum 'Sc1 Cr1 Si3'
_cell_length_a 4.373
_cell_length_b 4.373
_cell_length_c 4.373
_cell_angle_alpha 90.00
_cell_angle_beta 90.00
_cell_angle_gamma 90.00
_symmetry_space_group_name_H-M 'P m -3 m'
_symmetry_Int_Tables_number 221
_symmetry_space_group_name_Hall '-P 4 2 3'
loop_
_atom_site_label
_atom_site_type_symbol
_atom_site_fract_x
_atom_site_fract_y
_atom_site_fract_z
Sc1 Sc 0.000 0.000 0.000
Cr1 Cr 0.500 0.500 0.500
Si1 Si 0.000 0.500 0.500
# Formation energy from raw total energies: 0.224 eV per atom

---

Entry 11:
# SCAN Cd2HgAu, PBEsol geometry
data_Cd2HgAu
_chemical_formula_sum 'Cd2 Hg1 Au1'
_cell_length_a 3.001
_cell_length_b 3.778
_cell_length_c 7.038
_cell_angle_alpha 90.00
_cell_angle_beta 90.00
_cell_angle_gamma 90.00
_symmetry_space_group_name_H-M 'P m m m'
_symmetry_Int_Tables_number 47
loop_
_symmetry_equiv_pos_as_xyz
'x,y,z'
'-x,-y,-z'
'-x,-y,z'
'x,y,-z'
'x,-y,-z'
'-x,y,z'
'-x,y,-z'
'x,-y,z'
loop_
_atom_site_label
_atom_site_type_symbol
_atom_site_fract_x
_atom_site_fract_y
_atom_site_fract_z
Cd1 Cd 0.000 0.000 0.229
Hg1 Hg 0.500 0.500 0.500
Au1 Au 0.500 0.500 0.000
# Energy above the most stable polymorph in this dataset: 0.000 eV/atom
# Energy of formation: -0.107 eV/atom

---

Entry 12:
# SCAN ReRhN2O, PBEsol geometry
data_ReRhN2O
_chemical_formula_sum 'Re1 Rh1 N2 O1'
_cell_length_a 3.797
_cell_length_b 3.797
_cell_length_c 3.774
_cell_angle_alpha 90.00
_cell_angle_beta 90.00
_cell_angle_gamma 90.00
_symmetry_space_group_name_H-M 'P 4/m m m'
_symmetry_Int_Tables_number 123
_symmetry_space_group_name_Hall '-P 4 2'
loop_
_atom_site_label
_atom_site_type_symbol
_atom_site_fract_x
_atom_site_fract_y
_atom_site_fract_z
Re1 Re 0.000 0.000 0.000
Rh1 Rh 0.500 0.500 0.500
N1 N 0.000 0.500 0.500
O1 O 0.500 0.500 0.000
# Formation energy from raw total energies: 1.488 eV per atom

---

no.,M_tot (Bohr magnetons per cell)
1,1.5
2,0.0
3,6.3
4,0.0
5,18.0
6,0.0
7,8.7
8,0.0
9,0.0
10,0.0
11,0.0
12,1.9